1.
VASP calculation (PBE-GGA) on crystalline KLi2P at its relaxed geometry.

CIF file:
```
data_KLi2P
_chemical_formula_sum 'K2 Li4 P2'
_cell_length_a 4.539
_cell_length_b 5.824
_cell_length_c 7.772
_cell_angle_alpha 90.00
_cell_angle_beta 90.00
_cell_angle_gamma 90.00
_space_group_name_H-M_alt 'I m m 2'
_space_group_IT_number 44
loop_
_space_group_symop_operation_xyz
'x,y,z'
'-x,-y,z'
'-x,y,z'
'x,-y,z'
'x+1/2,y+1/2,z+1/2'
'-x+1/2,-y+1/2,z+1/2'
'-x+1/2,y+1/2,z+1/2'
'x+1/2,-y+1/2,z+1/2'
loop_
_atom_site_label
_atom_site_fract_x
_atom_site_fract_y
_atom_site_fract_z
K1 0.000 0.000 0.000
Li1 0.000 0.000 0.592
Li2 0.000 0.500 0.856
P1 0.000 0.500 0.180
```

**Spin magnetization**: 0.00 μB per atom
**VASP energy**: -22.669 eV/cell
**DOS(E_F)**: 0.00 states/eV/atom



2.
VASP calculation (PBE-GGA) on crystalline SrSm5Zn4 at its relaxed geometry.

CIF file:
```
data_SrSm5Zn4
_chemical_formula_sum 'Sr1 Sm5 Zn4'
_cell_length_a 3.697
_cell_length_b 3.697
_cell_length_c 20.207
_cell_angle_alpha 90.00
_cell_angle_beta 90.00
_cell_angle_gamma 90.00
_space_group_name_H-M_alt 'P 4/m m m'
_space_group_IT_number 123
_space_group_name_Hall '-P 4 2'
loop_
_atom_site_label
_atom_site_fract_x
_atom_site_fract_y
_atom_site_fract_z
Sr1 0.000 0.000 0.000
Sm1 0.500 0.500 0.151
Sm2 0.500 0.500 0.323
Sm3 0.500 0.500 0.500
Zn1 0.000 0.000 0.235
Zn2 0.000 0.000 0.411
```

**Spin magnetization**: 0.01 μB per atom
**VASP energy**: -32.468 eV/cell
**DOS(E_F)**: 1.59 states/eV/atom



3.
VASP calculation (PBE-GGA) on crystalline CeTh3In at its relaxed geometry.

CIF file:
```
data_CeTh3In
_chemical_formula_sum 'Ce2 Th6 In2'
_cell_length_a 5.698
_cell_length_b 6.744
_cell_length_c 8.312
_cell_angle_alpha 90.00
_cell_angle_beta 109.93
_cell_angle_gamma 90.00
_space_group_name_H-M_alt 'P 1 21/m 1'
_space_group_IT_number 11
loop_
_space_group_symop_operation_xyz
'x,y,z'
'-x,-y,-z'
'-x,y+1/2,-z'
'x,-y+1/2,z'
loop_
_atom_site_label
_atom_site_fract_x
_atom_site_fract_y
_atom_site_fract_z
Ce1 0.005 0.250 0.010
Th1 0.188 0.504 0.376
Th2 0.408 0.250 0.817
In1 0.376 0.750 0.752
```

**Spin magnetization**: 0.00 μB per atom
**Energy above the most stable polymorph in this dataset**: 55 meV per atom
**DOS(E_F)**: 1.63 states/eV/atom



4.
VASP calculation (PBE-GGA) on crystalline GdCoC at its relaxed geometry.

CIF file:
```
data_GdCoC
_chemical_formula_sum 'Gd2 Co2 C2'
_cell_length_a 3.628
_cell_length_b 3.628
_cell_length_c 7.083
_cell_angle_alpha 90.00
_cell_angle_beta 90.00
_cell_angle_gamma 90.00
_space_group_name_H-M_alt 'P 42/m m c'
_space_group_IT_number 131
_space_group_name_Hall '-P 4c 2'
loop_
_atom_site_label
_atom_site_fract_x
_atom_site_fract_y
_atom_site_fract_z
Gd1 0.000 0.000 0.250
Co1 0.500 0.500 0.000
C1 0.000 0.500 0.000
```

**Spin magnetization**: 2.32 μB per atom
**Energy above the most stable polymorph in this dataset**: 0 meV per atom
**DOS(E_F)**: 0.61 states/eV/atom



5.
VASP calculation (PBE-GGA) on crystalline TmTl5Br8 at its relaxed geometry.

CIF file:
```
data_TmTl5Br8
_chemical_formula_sum 'Tm2 Tl10 Br16'
_cell_length_a 9.757
_cell_length_b 9.757
_cell_length_c 10.035
_cell_angle_alpha 90.00
_cell_angle_beta 90.00
_cell_angle_gamma 90.00
_space_group_name_H-M_alt 'I -4'
_space_group_IT_number 82
loop_
_space_group_symop_operation_xyz
'x,y,z'
'y,-x,-z'
'-x,-y,z'
'-y,x,-z'
'x+1/2,y+1/2,z+1/2'
'y+1/2,-x+1/2,-z+1/2'
'-x+1/2,-y+1/2,z+1/2'
'-y+1/2,x+1/2,-z+1/2'
loop_
_atom_site_label
_atom_site_fract_x
_atom_site_fract_y
_atom_site_fract_z
Tm1 0.000 0.000 0.000
Tl1 0.000 0.500 0.750
Tl2 0.128 0.761 0.385
Br1 0.064 0.831 0.734
Br2 0.070 0.727 0.068
```

**Spin magnetization**: 0.00 μB per atom
**VASP energy**: -90.173 eV/cell
**DOS(E_F)**: 0.00 states/eV/atom



6.
VASP calculation (PBE-GGA) on crystalline Sr2SbOs at its relaxed geometry.

CIF file:
```
data_Sr2SbOs
_chemical_formula_sum 'Sr2 Sb1 Os1'
_cell_length_a 3.424
_cell_length_b 4.457
_cell_length_c 7.062
_cell_angle_alpha 90.00
_cell_angle_beta 90.06
_cell_angle_gamma 90.00
_space_group_name_H-M_alt 'P 1 2/m 1'
_space_group_IT_number 10
loop_
_space_group_symop_operation_xyz
'x,y,z'
'-x,-y,-z'
'-x,y,-z'
'x,-y,z'
loop_
_atom_site_label
_atom_site_fract_x
_atom_site_fract_y
_atom_site_fract_z
Sr1 0.000 0.000 0.236
Sb1 0.500 0.500 0.500
Os1 0.500 0.500 0.000
```

**Spin magnetization**: 0.19 μB per atom
**VASP energy**: -17.746 eV/cell
**DOS(E_F)**: 0.78 states/eV/atom



7.
VASP calculation (PBE-GGA) on crystalline Pu3Ag5O12 at its relaxed geometry.

CIF file:
```
data_Pu3Ag5O12
_chemical_formula_sum 'Pu3 Ag5 O12'
_cell_length_a 9.8916
_cell_length_b 9.8916
_cell_length_c 3.4864
_cell_angle_alpha 90.00
_cell_angle_beta 90.00
_cell_angle_gamma 120.00
_space_group_name_H-M_alt 'P -6 2 m'
_space_group_IT_number 189
_space_group_name_Hall 'P -6 -2'
loop_
_atom_site_label
_atom_site_fract_x
_atom_site_fract_y
_atom_site_fract_z
Pu1 0.0000 0.6539 0.0000
Ag1 0.0000 0.2797 0.5000
Ag2 0.3333 0.6667 0.5000
O1 0.0000 0.5217 0.5000
O2 0.0000 0.7876 0.5000
O3 0.2218 0.7677 0.0000
```

**Spin magnetization**: 0.25 μB per atom
**Energy above the most stable polymorph in this dataset**: 0 meV per atom
**DOS(E_F)**: 0.32 states/eV/atom



8.
VASP calculation (PBE-GGA) on crystalline Fe2CoRu at its relaxed geometry.

CIF file:
```
data_Fe2CoRu
_chemical_formula_sum 'Fe4 Co2 Ru2'
_cell_length_a 2.832
_cell_length_b 4.238
_cell_length_c 8.258
_cell_angle_alpha 90.00
_cell_angle_beta 90.00
_cell_angle_gamma 90.00
_space_group_name_H-M_alt 'C m m 2'
_space_group_IT_number 35
loop_
_space_group_symop_operation_xyz
'x,y,z'
'-x,-y,z'
'-x,y,z'
'x,-y,z'
'x+1/2,y+1/2,z'
'-x+1/2,-y+1/2,z'
'-x+1/2,y+1/2,z'
'x+1/2,-y+1/2,z'
loop_
_atom_site_label
_atom_site_fract_x
_atom_site_fract_y
_atom_site_fract_z
Fe1 0.000 0.000 0.000
Fe2 0.000 0.500 0.242
Co1 0.000 0.000 0.479
Ru1 0.000 0.500 0.742
```

**Spin magnetization**: 1.81 μB per atom
**VASP energy**: -65.165 eV/cell
**DOS(E_F)**: 1.28 states/eV/atom



9.
VASP calculation (PBE-GGA) on crystalline K3Zr2US6 at its relaxed geometry.

CIF file:
```
data_K3Zr2US6
_chemical_formula_sum 'K6 Zr4 U2 S12'
_cell_length_a 6.659
_cell_length_b 11.533
_cell_length_c 7.793
_cell_angle_alpha 90.00
_cell_angle_beta 106.56
_cell_angle_gamma 90.00
_space_group_name_H-M_alt 'C 1 2/m 1'
_space_group_IT_number 12
loop_
_space_group_symop_operation_xyz
'x,y,z'
'-x,-y,-z'
'-x,y,-z'
'x,-y,z'
'x+1/2,y+1/2,z'
'-x+1/2,-y+1/2,-z'
'-x+1/2,y+1/2,-z'
'x+1/2,-y+1/2,z'
loop_
_atom_site_label
_atom_site_fract_x
_atom_site_fract_y
_atom_site_fract_z
K1 0.000 0.000 0.000
K2 0.000 0.335 0.000
Zr1 0.000 0.167 0.500
U1 0.000 0.500 0.500
S1 0.224 0.000 0.702
S2 0.239 0.328 0.703
```

**Spin magnetization**: 0.27 μB per atom
**VASP energy**: -147.779 eV/cell
**DOS(E_F)**: 0.71 states/eV/atom